Density functional theory data (PBE+U) for Fe2Cl2O after structural relaxation.

Its final energy is -5.062 eV per atom. The crystal system is orthorhombic.

The structure belongs to space group Ibam (No. 72); the cell edges are 8.0099, 9.0869 and 6.0400 Å and the angles 90.00°, 90.00° and 90.00°. The asymmetric unit holds Fe at (0.0934, 0.1274, 0.0000), Cl at (0.1203, 0.3208, 0.5000) and O at (0.0000, 0.0000, 0.2500).